Here is crystalline PdSe2I at its relaxed geometry from Alexandria via LeMat-Bulk. Energies are from PBE.

Results
Energy relative to the lowest polymorph listed for this composition, meV/atom: 128.5
E_form (uncorrected), eV/atom: -0.058
E, eV per atom: -3.49
Volume, A^3/atom: 25.51

```
data_PdSe2I
_chemical_formula_sum 'Pd2 Se4 I2'
_space_group_name_H-M_alt 'P 1 21/m 1'
_space_group_IT_number 11
_space_group_name_Hall '-P 2yb'
_cell_length_a 5.918
_cell_length_b 3.858
_cell_length_c 9.382
_cell_angle_alpha 90.00
_cell_angle_beta 107.67
_cell_angle_gamma 90.00
loop_
_atom_site_label
_atom_site_type_symbol
_atom_site_fract_x
_atom_site_fract_y
_atom_site_fract_z
_atom_site_occupancy
Pd1 Pd 0.188 0.250 0.379 1
Se1 Se 0.065 0.750 0.192 1
Se2 Se 0.323 0.750 0.053 1
I1 I 0.306 0.750 0.604 1
```

Here is crystalline CaCd2Ag at its relaxed geometry from Alexandria via LeMat-Bulk. Energies are from PBE.

Results
ΔH_f (0 K), eV/atom: -0.205
E, eV per atom: -1.88
Volume, A^3/atom: 23.49

```
data_CaCd2Ag
_chemical_formula_sum 'Ca1 Cd2 Ag1'
_space_group_name_H-M_alt 'P 4/m m m'
_space_group_IT_number 123
_space_group_name_Hall '-P 4 2'
_cell_length_a 3.585
_cell_length_b 3.585
_cell_length_c 7.310
_cell_angle_alpha 90.00
_cell_angle_beta 90.00
_cell_angle_gamma 90.00
loop_
_atom_site_label
_atom_site_type_symbol
_atom_site_fract_x
_atom_site_fract_y
_atom_site_fract_z
_atom_site_occupancy
Ca1 Ca 0.000 0.000 0.000 1
Cd1 Cd 0.500 0.500 0.286 1
Ag1 Ag 0.000 0.000 0.500 1
```

Here is crystalline PrHo8Tl2 at its relaxed geometry from Alexandria via LeMat-Bulk. Energies are from PBE.

Results
ΔH_f (0 K), eV/atom: 0.005
E, eV per atom: -4.19
Volume, A^3/atom: 31.14

```
data_PrHo8Tl2
_chemical_formula_sum 'Pr2 Ho16 Tl4'
_space_group_name_H-M_alt 'C 1 2/m 1'
_space_group_IT_number 12
_space_group_name_Hall '-C 2y'
_cell_length_a 18.828
_cell_length_b 6.847
_cell_length_c 5.324
_cell_angle_alpha 90.00
_cell_angle_beta 93.28
_cell_angle_gamma 90.00
loop_
_atom_site_label
_atom_site_type_symbol
_atom_site_fract_x
_atom_site_fract_y
_atom_site_fract_z
_atom_site_occupancy
Pr1 Pr 0.000 0.000 0.000 1
Ho1 Ho 0.047 0.500 0.239 1
Ho2 Ho 0.132 0.260 0.729 1
Ho3 Ho 0.199 0.000 0.234 1
Tl1 Tl 0.213 0.500 0.246 1
```

Here is crystalline CdHg2Te3 at its relaxed geometry from Alexandria via LeMat-Bulk. Energies are from PBE.

Results
E_form (uncorrected), eV/atom: -0.263
E, eV per atom: -2.09
Volume, A^3/atom: 36.52

```
data_CdHg2Te3
_chemical_formula_sum 'Cd4 Hg8 Te12'
_space_group_name_H-M_alt 'C 1 c 1'
_space_group_IT_number 9
_space_group_name_Hall 'C -2yc'
_cell_length_a 8.126
_cell_length_b 14.075
_cell_length_c 8.131
_cell_angle_alpha 90.00
_cell_angle_beta 109.52
_cell_angle_gamma 90.00
loop_
_atom_site_label
_atom_site_type_symbol
_atom_site_fract_x
_atom_site_fract_y
_atom_site_fract_z
_atom_site_occupancy
Cd1 Cd 0.000 0.083 0.000 1
Hg1 Hg 0.000 0.417 0.000 1
Hg2 Hg 0.499 0.251 0.999 1
Te1 Te 0.124 0.083 0.374 1
Te2 Te 0.124 0.250 0.874 1
Te3 Te 0.126 0.416 0.375 1
```

Here is crystalline AlSe2Br at its relaxed geometry from Alexandria via LeMat-Bulk. Energies are from PBE.

Results
Energy relative to the lowest polymorph listed for this composition, meV/atom: 524.0
E_form (uncorrected), eV/atom: -0.051
E, eV per atom: -3.15
Volume, A^3/atom: 30.12

```
data_AlSe2Br
_chemical_formula_sum 'Al2 Se4 Br2'
_space_group_name_H-M_alt 'C m m 2'
_space_group_IT_number 35
_space_group_name_Hall 'C 2 -2'
_cell_length_a 3.706
_cell_length_b 7.262
_cell_length_c 8.951
_cell_angle_alpha 90.00
_cell_angle_beta 90.00
_cell_angle_gamma 90.00
loop_
_atom_site_label
_atom_site_type_symbol
_atom_site_fract_x
_atom_site_fract_y
_atom_site_fract_z
_atom_site_occupancy
Al1 Al 0.000 0.000 0.000 1
Se1 Se 0.000 0.000 0.608 1
Se2 Se 0.000 0.500 0.801 1
Br1 Br 0.000 0.500 0.202 1
```

Here is crystalline LiFe2Sb at its relaxed geometry from Alexandria via LeMat-Bulk. Energies are from PBE.

Results
E_form (uncorrected), eV/atom: 0.434
E, eV per atom: -5.31
Volume, A^3/atom: 15.71

```
data_LiFe2Sb
_chemical_formula_sum 'Li4 Fe8 Sb4'
_space_group_name_H-M_alt 'I -4 2 d'
_space_group_IT_number 122
_space_group_name_Hall 'I -4 2bw'
_cell_length_a 6.982
_cell_length_b 6.982
_cell_length_c 5.156
_cell_angle_alpha 90.00
_cell_angle_beta 90.00
_cell_angle_gamma 90.00
loop_
_atom_site_label
_atom_site_type_symbol
_atom_site_fract_x
_atom_site_fract_y
_atom_site_fract_z
_atom_site_occupancy
Li1 Li 0.000 0.000 0.000 1
Fe1 Fe 0.238 0.250 0.125 1
Sb1 Sb 0.000 0.000 0.500 1
```

Here is crystalline RbSrNi2P at its relaxed geometry from Alexandria via LeMat-Bulk. Energies are from PBE.

Results
ΔH_f (0 K), eV/atom: 1.127
E, eV per atom: -2.80
Volume, A^3/atom: 34.08

```
data_RbSrNi2P
_chemical_formula_sum 'Rb1 Sr1 Ni2 P1'
_space_group_name_H-M_alt 'P 4/m m m'
_space_group_IT_number 123
_space_group_name_Hall '-P 4 2'
_cell_length_a 5.443
_cell_length_b 5.443
_cell_length_c 5.750
_cell_angle_alpha 90.00
_cell_angle_beta 90.00
_cell_angle_gamma 90.00
loop_
_atom_site_label
_atom_site_type_symbol
_atom_site_fract_x
_atom_site_fract_y
_atom_site_fract_z
_atom_site_occupancy
Rb1 Rb 0.000 0.000 0.000 1
Sr1 Sr 0.500 0.500 0.500 1
Ni1 Ni 0.000 0.500 0.500 1
P1 P 0.500 0.500 0.000 1
```

Here is crystalline MgF at its relaxed geometry from Alexandria via LeMat-Bulk. Energies are from PBE.

Results
Energy relative to the lowest polymorph listed for this composition, meV/atom: 386.8
E_form (uncorrected), eV/atom: -2.054
E, eV per atom: -3.79
Volume, A^3/atom: 16.37

```
data_MgF
_chemical_formula_sum 'Mg2 F2'
_space_group_name_H-M_alt 'P 63 m c'
_space_group_IT_number 186
_space_group_name_Hall 'P 6c -2c'
_cell_length_a 3.4525
_cell_length_b 3.4525
_cell_length_c 6.3413
_cell_angle_alpha 90.00
_cell_angle_beta 90.00
_cell_angle_gamma 120.00
loop_
_atom_site_label
_atom_site_type_symbol
_atom_site_fract_x
_atom_site_fract_y
_atom_site_fract_z
_atom_site_occupancy
Mg1 Mg 0.3333 0.6667 0.0000 1
F1 F 0.3333 0.6667 0.6235 1
```